Compound: Ti3Se
Source: Alexandria
Functional: GGA-PBE
Structure: optimized geometry

a = 4.2759 Å, b = 4.2759 Å, c = 3.4920 Å
α = 90.00°, β = 90.00°, γ = 90.00°
Element x y z (fractional)
Ti (0.0000, 0.0000, 0.0000)
Ti (0.0000, 0.5000, 0.5000)
Ti (0.5000, 0.0000, 0.5000)
Se (0.5000, 0.5000, 0.0000)

Values from the calculation:
- Raw formation energy: -1.4 eV per formula unit
- Space group: P4/mmm (123)
- Electronic total energy: -28.56 eV/cell